[1]
La4AsCBr2: optimized geometry, PBE.

Computed properties:
For the uncorrected formation energy, the calculation gives -1.2061 eV/atom.

a = 7.2990 Å, b = 4.0929 Å, c = 7.8627 Å
α = 90.00°, β = 107.32°, γ = 90.00°
With the nearest neighbours (Å) after each atom.
Fractional positions:
La  0.2032  0.0000  0.1908  2 C 2.70, 1 As 2.98
La  0.2325  0.5000  0.7988  1 C 2.64, 2 As 2.94
La  0.7675  0.5000  0.2012  1 C 2.64, 2 As 2.94
La  0.7968  0.0000  0.8092  2 C 2.70, 1 As 2.98
As  0.5000  0.0000  0.0000  6 La 2.94-2.98
C  0.0000  0.5000  0.0000  6 La 2.64-2.70
Br  0.0000  0.0000  0.5000  6 La 3.20
Br  0.5000  0.5000  0.5000  6 La 3.41-3.47


[2]
SrAl2In2: optimized geometry, PBE.

Computed properties:
As for the calculated formation energy: -0.1 eV/f.u.

a = 8.5121 Å, b = 8.5121 Å, c = 3.5115 Å
α = 90.00°, β = 90.00°, γ = 90.00°
With the nearest neighbours (Å) after each atom.
Fractional positions:
Sr  0.0000  0.0000  0.0000  4 In 3.33, 2 Sr 3.51, 8 Al 3.64
Sr  0.5000  0.5000  0.0000  4 In 3.33, 2 Sr 3.51, 8 Al 3.64
Al  0.1612  0.3388  0.5000  6 In 3.04-3.06
Al  0.3388  0.8388  0.5000  6 In 3.04-3.06
Al  0.6612  0.1612  0.5000  6 In 3.04-3.06
Al  0.8388  0.6612  0.5000  6 In 3.04-3.06
In  0.1322  0.6322  0.0000  6 Al 3.04-3.06, 1 In 3.18, 2 Sr 3.33
In  0.3678  0.1322  0.0000  6 Al 3.04-3.06, 1 In 3.18, 2 Sr 3.33
In  0.6322  0.8678  0.0000  6 Al 3.04-3.06, 1 In 3.18, 2 Sr 3.33
In  0.8678  0.3678  0.0000  6 Al 3.04-3.06, 1 In 3.18, 2 Sr 3.33


[3]
KCdHBr2: optimized geometry, PBE.

a = 5.7949 Å, b = 5.7949 Å, c = 3.8557 Å
α = 90.00°, β = 90.00°, γ = 90.00°
With the nearest neighbours (Å) after each atom.
Fractional positions:
K  0.0000  0.0000  0.0000  8 Br 3.48, 2 K 3.86
Cd  0.5000  0.5000  0.5000  2 H 1.93
H  0.5000  0.5000  0.0000  2 Cd 1.93
Br  0.0000  0.5000  0.5000  2 Cd 2.90
Br  0.5000  0.0000  0.5000  2 Cd 2.90


[4]
Ca5Hg2Au2: optimized geometry, PBE.

Computed properties:
As for the calculated formation energy: -5.6 eV/f.u.

a = 8.9732 Å, b = 8.9732 Å, c = 8.0291 Å
α = 90.00°, β = 90.00°, γ = 52.82°
With the nearest neighbours (Å) after each atom.
Fractional positions:
Ca  0.0000  0.0000  0.0000  4 Au 3.15, 2 Hg 3.34
Ca  0.0395  0.6961  0.6690  3 Au 3.12-3.22, 3 Hg 3.19-3.23
Ca  0.1961  0.5395  0.1690  3 Au 3.12-3.22, 3 Hg 3.19-3.23
Ca  0.3039  0.9605  0.6690  3 Au 3.12-3.22, 3 Hg 3.19-3.23
Ca  0.4605  0.8039  0.1690  3 Au 3.12-3.22, 3 Hg 3.19-3.23
Ca  0.5000  0.5000  0.5000  4 Au 3.15, 2 Hg 3.34
Ca  0.5395  0.1961  0.8310  3 Au 3.12-3.22, 3 Hg 3.19-3.23
Ca  0.6961  0.0395  0.3310  3 Au 3.12-3.22, 3 Hg 3.19-3.23
Ca  0.8039  0.4605  0.8310  3 Au 3.12-3.22, 3 Hg 3.19-3.23
Ca  0.9605  0.3039  0.3310  3 Au 3.12-3.22, 3 Hg 3.19-3.23
Hg  0.2081  0.2081  0.0000  7 Ca 3.19-3.34
Hg  0.2919  0.2919  0.5000  7 Ca 3.19-3.34
Hg  0.7081  0.7081  0.5000  7 Ca 3.19-3.34
Hg  0.7919  0.7919  0.0000  7 Ca 3.19-3.34
Au  0.1277  0.8723  0.3711  1 Au 2.91, 8 Ca 3.12-3.22
Au  0.3723  0.6277  0.8711  1 Au 2.91, 8 Ca 3.12-3.22
Au  0.6277  0.3723  0.1289  1 Au 2.91, 8 Ca 3.12-3.22
Au  0.8723  0.1277  0.6289  1 Au 2.91, 8 Ca 3.12-3.22


[5]
La2HoTm7: optimized geometry, PBE.

Computed properties:
As for the calculated formation energy: 0.3 eV/f.u.

a = 6.1232 Å, b = 7.0761 Å, c = 7.9543 Å
α = 77.05°, β = 74.88°, γ = 73.79°
With the nearest neighbours (Å) after each atom.
Fractional positions:
La  0.2010  0.2972  0.1017  10 Tm 3.52-3.59, 1 Ho 3.55, 1 La 3.60
La  0.7990  0.7028  0.8983  10 Tm 3.52-3.59, 1 Ho 3.55, 1 La 3.60
Ho  0.0000  0.5000  0.5000  10 Tm 3.51-3.54, 2 La 3.55
Tm  0.0000  0.0000  0.5000  8 Tm 3.51-3.54, 2 La 3.52, 2 Ho 3.54
Tm  0.1973  0.7999  0.1036  1 Ho 3.51, 7 Tm 3.52-3.61, 4 La 3.52-3.56
Tm  0.3988  0.1016  0.6952  9 Tm 3.49-3.59, 1 Ho 3.53, 2 La 3.57-3.59
Tm  0.3986  0.6010  0.6959  7 Tm 3.49-3.61, 2 Ho 3.51-3.54, 3 La 3.54-3.58
Tm  0.6014  0.3990  0.3041  7 Tm 3.49-3.61, 2 Ho 3.51-3.54, 3 La 3.54-3.58
Tm  0.6012  0.8984  0.3048  9 Tm 3.49-3.59, 1 Ho 3.53, 2 La 3.57-3.59
Tm  0.8027  0.2001  0.8964  1 Ho 3.51, 7 Tm 3.52-3.61, 4 La 3.52-3.56


[6]
Rb2Ta2F: optimized geometry, PBE.

Computed properties:
For the uncorrected formation energy, the calculation gives 0.9913 eV/atom. For the distance to the lowest polymorph of the same formula, the calculation gives 0.0 meV per atom.

a = 10.7622 Å, b = 10.7622 Å, c = 3.2190 Å
α = 90.00°, β = 90.00°, γ = 90.00°
With the nearest neighbours (Å) after each atom.
Fractional positions:
Rb  0.2133  0.2867  0.0000  2 Rb 3.22
Rb  0.2867  0.7867  0.0000  2 Rb 3.22
Rb  0.7133  0.2133  0.0000  2 Rb 3.22
Rb  0.7867  0.7133  0.0000  2 Rb 3.22
Ta  0.0746  0.5746  0.5000  1 Ta 2.27
Ta  0.4254  0.0746  0.5000  1 Ta 2.27
Ta  0.5746  0.9254  0.5000  1 Ta 2.27
Ta  0.9254  0.4254  0.5000  1 Ta 2.27
F  0.0000  0.0000  0.5000  2 F 3.22
F  0.5000  0.5000  0.5000  2 F 3.22


[7]
Al2PtCl: optimized geometry, PBE.

Computed properties:
For the uncorrected formation energy, the calculation gives -0.3889 eV/atom. For the distance to the lowest polymorph of the same formula, the calculation gives 398.7 meV per atom.

a = 6.0889 Å, b = 6.0889 Å, c = 6.0889 Å
α = 152.95°, β = 136.74°, γ = 51.76°
With the nearest neighbours (Å) after each atom.
Fractional positions:
Al  0.0000  0.0000  0.0000  4 Pt 2.75, 4 Al 2.85-3.02
Al  0.7573  0.2573  0.5000  2 Pt 2.56, 4 Cl 2.69, 2 Al 2.85
Pt  0.5630  0.5630  0.0000  6 Al 2.56-2.75, 2 Pt 2.85
Cl  0.2921  0.7921  0.5000  4 Al 2.69, 2 Cl 2.85


[8]
Ca2PrSnTe4: optimized geometry, PBE.

Computed properties:
For the uncorrected formation energy, the calculation gives -1.1983 eV/atom.

a = 7.8439 Å, b = 4.4978 Å, c = 7.9089 Å
α = 90.00°, β = 109.24°, γ = 90.00°
With the nearest neighbours (Å) after each atom.
Fractional positions:
Ca  0.0000  0.0000  0.0000  6 Te 3.18-3.19
Ca  0.0000  0.5000  0.5000  6 Te 3.20-3.22
Pr  0.5000  0.0000  0.5000  6 Te 3.23
Sn  0.5000  0.5000  0.0000  6 Te 3.20
Te  0.2463  0.5000  0.2452  3 Ca 3.18-3.22, 1 Sn 3.20, 2 Pr 3.23
Te  0.2484  0.0000  0.7513  3 Ca 3.19-3.20, 2 Sn 3.20, 1 Pr 3.23
Te  0.7516  0.0000  0.2487  3 Ca 3.19-3.20, 2 Sn 3.20, 1 Pr 3.23
Te  0.7537  0.5000  0.7548  3 Ca 3.18-3.22, 1 Sn 3.20, 2 Pr 3.23


[9]
Eu2SnSb: optimized geometry, PBE.

Computed properties:
For the uncorrected formation energy, the calculation gives -0.7679 eV/atom. For the distance to the lowest polymorph of the same formula, the calculation gives 0.0 meV per atom.

a = 4.1264 Å, b = 4.1264 Å, c = 7.0872 Å
α = 90.00°, β = 90.00°, γ = 90.00°
With the nearest neighbours (Å) after each atom.
Fractional positions:
Eu  0.0000  0.0000  0.2401  4 Sb 3.38, 2 Eu 3.40-3.68, 4 Sn 3.45
Eu  0.0000  0.0000  0.7599  4 Sb 3.38, 2 Eu 3.40-3.68, 4 Sn 3.45
Sn  0.5000  0.5000  0.5000  8 Eu 3.45, 2 Sb 3.54
Sb  0.5000  0.5000  0.0000  8 Eu 3.38, 2 Sn 3.54


[10]
Cd2TeW: optimized geometry, PBE.

Computed properties:
For the uncorrected formation energy, the calculation gives 0.8753 eV/atom.

a = 4.9096 Å, b = 4.9096 Å, c = 4.9096 Å
α = 60.00°, β = 60.00°, γ = 60.00°
With the nearest neighbours (Å) after each atom.
Fractional positions:
Cd  0.0000  0.0000  0.0000  4 W 3.01, 4 Cd 3.01
Cd  0.2500  0.2500  0.2500  4 Te 3.01, 4 Cd 3.01
Te  0.5000  0.5000  0.5000  4 Cd 3.01, 4 W 3.01
W  0.7500  0.7500  0.7500  4 Te 3.01, 4 Cd 3.01


Result set for calculated total energy: -5.8222 -2.9408 -2.5945 -2.5259 -4.5398 -4.5111 -4.2321 -4.3673 -7.9365 -3.6059 eV/atom, one per record in the order listed.
Result set for magnetization: 0.0000 0.0000 0.0000 0.0000 0.0000 0.0000 0.0000 0.0000 3.4727 0.0691 μB per atom, one per record in the order listed.